# ScTe2AuO

A geometry-optimized ScTe2AuO structure (PBE, Alexandria via LeMat-Bulk).

ΔE_f (raw): -683 meV/atom
uncorrected energy: -24.27 eV per cell
V: 25.20 Å³ per atom
crystal system: tetragonal
DOS(E_F): 3.69 states/eV per cell

a b c (Å): 5.7807 5.7807 3.7702
angles (deg): 90.00 90.00 90.00
With the nearest neighbours (Å) after each atom.
Fractional coordinates of all 5 atoms:
1 Sc 0.0000 0.0000 0.0000  2 O 1.89
2 Te 0.0000 0.5000 0.0000  2 Sc 2.89
3 Te 0.5000 0.0000 0.0000  2 Sc 2.89
4 Au 0.5000 0.5000 0.5000  8 Te 3.45, 2 Au 3.77
5 O 0.0000 0.0000 0.5000  2 Sc 1.89